VASP calculation (GGA-PBE) on a geometry-optimized LiCa2Zn6Cu structure.

Cell lengths 6.454, 6.578, 6.596 Å; angles 59.10, 59.55, 89.56 degrees
Positions (direct):
1 Ca 0.690 0.080 0.613
2 Zn 0.824 0.619 0.508
3 Zn 0.176 0.381 0.492
4 Zn 0.869 0.377 0.955
5 Zn 0.131 0.623 0.045
6 Zn 0.331 0.380 0.802
7 Li 0.500 0.500 0.000
8 Ca 0.310 0.920 0.387
9 Zn 0.669 0.620 0.198
10 Cu 0.000 0.000 0.000

Results
Calculated density = 4632 kg/m³
ΔH_f (0 K) = -0.123 eV/atom
DOS at the Fermi energy = 4.35 states/eV/cell
Space group = P-1
Magnetic moment = 0.00 μB per cell


VASP calculation (GGA-PBE) on a geometry-optimized LiCa2ZnCu structure.

Cell lengths 5.564, 5.564, 4.651 Å; angles 90.00, 90.00, 90.00 degrees
Positions (direct):
1 Zn 0.000 0.000 0.500
2 Ca 0.000 0.500 0.000
3 Ca 0.500 0.000 0.000
4 Cu 0.000 0.000 0.000
5 Li 0.500 0.500 0.500

Results
Calculated density = 2492 kg/m³
ΔH_f (0 K) = 0.025 eV/atom
DOS at the Fermi energy = 2.34 states/eV/cell
Space group = P4/mmm
Magnetic moment = 0.00 μB per cell


VASP calculation (GGA-PBE) on a geometry-optimized LiCa2Zn2Cu5 structure.

Cell lengths 3.641, 9.719, 9.719 Å; angles 90.00, 90.00, 90.00 degrees
Positions (direct):
1 Cu 0.500 0.303 0.553
2 Cu 0.500 0.947 0.197
3 Cu 0.500 0.447 0.303
4 Cu 0.500 0.803 0.947
5 Cu 0.500 0.697 0.447
6 Cu 0.500 0.053 0.803
7 Ca 0.000 0.679 0.179
8 Cu 0.500 0.197 0.053
9 Zn 0.000 0.881 0.381
10 Zn 0.000 0.619 0.881
11 Ca 0.000 0.321 0.821
12 Ca 0.000 0.821 0.679
13 Zn 0.000 0.119 0.619
14 Zn 0.000 0.381 0.119
15 Li 0.000 0.000 0.000
16 Cu 0.500 0.000 0.500
17 Ca 0.000 0.179 0.321
18 Cu 0.500 0.500 0.000
19 Cu 0.500 0.553 0.697
20 Li 0.000 0.500 0.500

Results
Calculated density = 5172 kg/m³
ΔH_f (0 K) = -0.033 eV/atom
DOS at the Fermi energy = 5.83 states/eV/cell
Space group = P4/mbm
Magnetic moment = 0.00 μB per cell


Q: Which value of ΔH_f (0 K) does entry 2 give?
A: 0.025 eV/atom


Q: Which value of calculated density does entry 1 give?
A: 4632 kg/m³


Q: Which of these has the highest calculated density?
A: LiCa2Zn2Cu5